Compound: AsPt3Br
Source: Alexandria via LeMat-Bulk
Functional: SCAN
Structure: single point on PBEsol structure

The raw formation energy comes out at 0.72 eV/atom.

The space group is Pm-3m (No. 221) and the conventional cell measures 4.6737, 4.6737 and 4.6737 Å, with angles of 90.00, 90.00 and 90.00 degrees. The distinct sites, in fractional coordinates, are As at (0.0000, 0.0000, 0.0000), Pt at (0.0000, 0.0000, 0.5000) and Br at (0.5000, 0.5000, 0.5000).



Compound: BaPb7
Source: Alexandria via LeMat-Bulk
Functional: SCAN
Structure: single point on PBEsol structure

The calculation puts the total energy at -5.252 Ry per atom.

The space group is Fm-3m (No. 225) and the conventional cell measures 9.9590, 9.9590 and 9.9590 Å, with angles of 90.00, 90.00 and 90.00 degrees. The distinct sites, in fractional coordinates, are Ba at (0.0000, 0.0000, 0.0000), Pb at (0.0000, 0.0000, 0.5000) and Pb at (0.0000, 0.2500, 0.2500).



no.,N(E_F) (states/eV per cell)
1,2.77
2,14.02